1.
This record from the Alexandria database describes TaCdRe2 at its PBEsol-relaxed geometry. The functional is SCAN.

Output
The total energy comes out at -59.50 eV per atom. For the calculated density, the calculation gives 16.738 g/cm3. The value obtained for the density of states at the Fermi level is 0.71 states/eV per atom.

Geometry as POSCAR:
```
TaCdRe2
1.0
3.289 0.000 0.000
0.000 3.289 0.000
0.000 0.000 6.106
Ta Cd Re
1 1 2
Direct
0.000 0.000 0.000 Ta
0.000 0.000 0.500 Cd
0.500 0.500 0.225 Re
0.500 0.500 0.775 Re
```

=====

2.
This record from the Alexandria database describes TaCd2Re at its PBEsol-relaxed geometry. The functional is SCAN.

Output
For the calculated density, the calculation gives 14.172 g/cm3. The offset from the most stable computed form comes out at 0.00 eV per formula unit. The value obtained for the density of states at the Fermi level is 0.55 states/eV per atom.

Geometry as POSCAR:
```
TaCd2Re
1.0
3.405 0.000 0.000
0.000 4.297 0.000
0.000 0.000 4.741
Ta Cd Re
1 2 1
Direct
0.000 0.000 0.000 Ta
0.000 0.500 0.500 Cd
0.500 0.000 0.500 Cd
0.500 0.500 0.000 Re
```

=====

3.
This record from the Alexandria database describes TaCd2Re at its PBEsol-relaxed geometry. The functional is SCAN.

Output
For the calculated density, the calculation gives 14.271 g/cm3. The offset from the most stable computed form comes out at 0.48 eV per formula unit. The value obtained for the density of states at the Fermi level is 0.67 states/eV per atom.

Geometry as POSCAR:
```
TaCd2Re
1.0
4.187 0.000 0.000
0.000 4.187 0.000
0.000 0.000 7.859
Ta Cd Re
2 4 2
Direct
0.000 0.000 0.000 Ta
0.500 0.500 0.500 Ta
0.000 0.000 0.500 Cd
0.000 0.500 0.250 Cd
0.500 0.000 0.750 Cd
0.500 0.500 0.000 Cd
0.000 0.500 0.750 Re
0.500 0.000 0.250 Re
```

=====

4.
This record from the Alexandria database describes Ta2CdRe at its PBEsol-relaxed geometry. The functional is SCAN.

Output
The total energy comes out at -58.66 eV per atom. For the calculated density, the calculation gives 15.942 g/cm3. The value obtained for the density of states at the Fermi level is 0.69 states/eV per atom.

Geometry as POSCAR:
```
Ta2CdRe
1.0
3.245 0.000 0.000
0.000 4.586 0.000
0.000 0.000 9.248
Ta Cd Re
4 2 2
Direct
0.000 0.000 0.231 Ta
0.000 0.000 0.769 Ta
0.500 0.500 0.231 Ta
0.500 0.500 0.769 Ta
0.000 0.500 0.500 Cd
0.500 0.000 0.500 Cd
0.000 0.500 0.000 Re
0.500 0.000 0.000 Re
```

=====

5.
This record from the Alexandria database describes Ta2CdRe at its PBEsol-relaxed geometry. The functional is SCAN.

Output
The total energy comes out at -58.39 eV per atom. For the calculated density, the calculation gives 16.122 g/cm3. The value obtained for the density of states at the Fermi level is 0.90 states/eV per atom.

Geometry as POSCAR:
```
Ta2CdRe
1.0
3.965 0.000 0.000
0.000 3.965 0.000
0.000 0.000 8.653
Ta Cd Re
4 2 2
Direct
0.000 0.000 0.000 Ta
0.000 0.500 0.250 Ta
0.500 0.000 0.750 Ta
0.500 0.500 0.500 Ta
0.000 0.000 0.500 Cd
0.500 0.500 0.000 Cd
0.000 0.500 0.750 Re
0.500 0.000 0.250 Re
```

=====

6.
This record from the Alexandria database describes Ta2CdRe at its PBEsol-relaxed geometry. The functional is SCAN.

Output
The total energy comes out at -58.46 eV per atom. For the calculated density, the calculation gives 16.054 g/cm3. The value obtained for the density of states at the Fermi level is 1.10 states/eV per atom.

Geometry as POSCAR:
```
Ta2CdRe
1.0
6.489 0.000 0.000
0.000 6.489 0.000
0.000 0.000 6.489
Ta Cd Re
8 4 4
Direct
0.250 0.250 0.250 Ta
0.250 0.250 0.750 Ta
0.250 0.750 0.250 Ta
0.250 0.750 0.750 Ta
0.750 0.250 0.250 Ta
0.750 0.250 0.750 Ta
0.750 0.750 0.250 Ta
0.750 0.750 0.750 Ta
0.000 0.000 0.000 Cd
0.000 0.500 0.500 Cd
0.500 0.000 0.500 Cd
0.500 0.500 0.000 Cd
0.000 0.000 0.500 Re
0.000 0.500 0.000 Re
0.500 0.000 0.000 Re
0.500 0.500 0.500 Re
```

=====

7.
This record from the Alexandria database describes TaCdRe2 at its PBEsol-relaxed geometry. The functional is SCAN.

Output
The total energy comes out at -59.32 eV per atom. For the calculated density, the calculation gives 16.824 g/cm3. The value obtained for the density of states at the Fermi level is 1.22 states/eV per atom.

Geometry as POSCAR:
```
TaCdRe2
1.0
2.737 0.000 0.000
0.000 2.737 0.000
0.000 0.000 8.772
Ta Cd Re
1 1 2
Direct
0.000 0.000 0.000 Ta
0.000 0.000 0.500 Cd
0.500 0.500 0.244 Re
0.500 0.500 0.756 Re
```

=====

8.
This record from the Alexandria database describes Ta2CdRe at its PBEsol-relaxed geometry. The functional is SCAN.

Output
The total energy comes out at -58.50 eV per atom. For the calculated density, the calculation gives 16.033 g/cm3. The value obtained for the density of states at the Fermi level is 0.56 states/eV per atom.

Geometry as POSCAR:
```
Ta2CdRe
1.0
3.447 0.000 0.000
0.000 4.541 0.000
0.000 0.000 8.741
Ta Cd Re
4 2 2
Direct
0.000 0.000 0.232 Ta
0.000 0.000 0.768 Ta
0.500 0.500 0.268 Ta
0.500 0.500 0.732 Ta
0.000 0.500 0.000 Cd
0.500 0.000 0.500 Cd
0.000 0.500 0.500 Re
0.500 0.000 0.000 Re
```